# 1
The following is a DFT calculation (PBE) of crystalline Tl2In9Ga at its relaxed geometry.

## Properties
ΔE_f in eV per atom: 0.11

Geometry as POSCAR:
```
Tl2In9Ga
1.0
6.0041 -0.0336 1.5698
2.8093 5.3064 1.5698
0.7320 0.4379 11.4590
Tl In Ga
2 9 1
Cartesian
1.6280 0.9740 7.0096
7.9175 4.7368 7.5890
3.7788 2.2607 12.4742
5.7667 3.4500 2.1244
4.7727 2.8554 7.2993
5.7319 3.4292 10.2310
4.2080 0.7029 9.6630
2.6090 3.3755 9.6630
3.8135 2.2815 4.3676
6.9364 2.3352 4.9356
5.3374 5.0078 4.9356
0.0000 0.0000 0.0000
```

***

# 2
The following is a DFT calculation (PBE) of crystalline Tl3In5Ga6 at its relaxed geometry.

## Properties
ΔE_f in eV per atom: 0.04

Geometry as POSCAR:
```
Tl3In5Ga6
1.0
4.5386 0.0000 0.0000
0.0000 11.4339 0.0000
0.0000 0.0000 13.5431
Tl In Ga
6 10 12
Cartesian
0.0000 2.9136 9.3914
2.2693 8.5202 2.6199
2.2693 8.5202 10.9233
0.0000 2.6276 0.0000
2.2693 8.8063 6.7716
0.0000 2.9136 4.1517
0.0000 5.9584 11.3413
0.0000 10.2089 9.1135
0.0000 8.3107 0.0000
2.2693 5.4754 8.9734
2.2693 3.1232 6.7716
0.0000 5.9584 2.2018
2.2693 5.4754 4.5698
0.0000 10.2089 4.4296
2.2693 1.2250 11.2012
2.2693 1.2250 2.3420
4.5386 10.9377 11.9394
2.2693 0.4961 8.3753
2.2693 4.1230 11.7427
2.2693 6.1878 0.0000
0.0000 5.2461 6.7716
0.0000 7.3109 8.5720
0.0000 7.3109 4.9711
2.2693 10.6605 0.0000
0.0000 10.9378 1.6037
2.2693 4.1230 1.8005
4.5386 0.7734 6.7716
2.2693 0.4961 5.1679
```

***

Q: Which value of ΔE_f does entry 2 give?
A: 0.04 eV per atom